1.
# PBEsol Y3CrSb, relaxed
data_Y3CrSb
_cell_length_a 5.603
_cell_length_b 5.603
_cell_length_c 5.603
_cell_angle_alpha 90.00
_cell_angle_beta 90.00
_cell_angle_gamma 90.00
_space_group_name_H-M_alt 'P m -3 m'
_space_group_IT_number 221
_space_group_name_Hall '-P 4 2 3'
loop_
_atom_site_label
_atom_site_fract_x
_atom_site_fract_y
_atom_site_fract_z
Y1 0.000 0.000 0.500
Cr1 0.500 0.500 0.500
Sb1 0.000 0.000 0.000
# Total moment = 6.16 μB per cell
# Formation energy (no corrections) = 0.54 eV/atom

2.
# PBEsol YCrSb2, relaxed
data_YCrSb2
_cell_length_a 5.307
_cell_length_b 5.307
_cell_length_c 6.524
_cell_angle_alpha 90.00
_cell_angle_beta 90.00
_cell_angle_gamma 90.00
_space_group_name_H-M_alt 'I 4/m m m'
_space_group_IT_number 139
_space_group_name_Hall '-I 4 2'
loop_
_atom_site_label
_atom_site_fract_x
_atom_site_fract_y
_atom_site_fract_z
Y1 0.000 0.000 0.000
Cr1 0.000 0.000 0.500
Sb1 0.000 0.500 0.250
# Total moment = 7.00 μB per cell
# Formation energy (no corrections) = -0.14 eV/atom

3.
# PBEsol YCr2Sb, relaxed
data_YCr2Sb
_cell_length_a 3.356
_cell_length_b 3.356
_cell_length_c 6.374
_cell_angle_alpha 90.00
_cell_angle_beta 90.00
_cell_angle_gamma 90.00
_space_group_name_H-M_alt 'P 4/m m m'
_space_group_IT_number 123
_space_group_name_Hall '-P 4 2'
loop_
_atom_site_label
_atom_site_fract_x
_atom_site_fract_y
_atom_site_fract_z
Y1 0.000 0.000 0.000
Cr1 0.500 0.500 0.285
Sb1 0.000 0.000 0.500
# Total moment = 3.75 μB per cell
# Formation energy (no corrections) = 0.32 eV/atom

4.
# PBEsol Zn2CrSb, relaxed
data_Zn2CrSb
_cell_length_a 8.516
_cell_length_b 3.149
_cell_length_c 5.257
_cell_angle_alpha 90.00
_cell_angle_beta 99.85
_cell_angle_gamma 90.00
_space_group_name_H-M_alt 'C 1 m 1'
_space_group_IT_number 8
loop_
_space_group_symop_operation_xyz
'x,y,z'
'x,-y,z'
'x+1/2,y+1/2,z'
'x+1/2,-y+1/2,z'
loop_
_atom_site_label
_atom_site_fract_x
_atom_site_fract_y
_atom_site_fract_z
Zn1 0.000 0.000 0.000
Zn2 0.239 0.500 0.172
Cr1 0.258 0.000 0.769
Sb1 0.013 0.500 0.512
# Total moment = 6.48 μB per cell
# Formation energy (no corrections) = 0.29 eV/atom

5.
# PBEsol ZnCr3Sb, relaxed
data_ZnCr3Sb
_cell_length_a 4.539
_cell_length_b 4.539
_cell_length_c 4.539
_cell_angle_alpha 90.00
_cell_angle_beta 90.00
_cell_angle_gamma 90.00
_space_group_name_H-M_alt 'P m -3 m'
_space_group_IT_number 221
_space_group_name_Hall '-P 4 2 3'
loop_
_atom_site_label
_atom_site_fract_x
_atom_site_fract_y
_atom_site_fract_z
Zn1 0.000 0.000 0.000
Cr1 0.000 0.000 0.500
Sb1 0.500 0.500 0.500
# Total moment = 9.61 μB per cell
# Formation energy (no corrections) = 1.19 eV/atom

6.
# PBEsol Zn2CrSb, relaxed
data_Zn2CrSb
_cell_length_a 5.187
_cell_length_b 9.915
_cell_length_c 3.081
_cell_angle_alpha 90.00
_cell_angle_beta 121.26
_cell_angle_gamma 90.00
_space_group_name_H-M_alt 'C 1 2/m 1'
_space_group_IT_number 12
loop_
_space_group_symop_operation_xyz
'x,y,z'
'-x,-y,-z'
'-x,y,-z'
'x,-y,z'
'x+1/2,y+1/2,z'
'-x+1/2,-y+1/2,-z'
'-x+1/2,y+1/2,-z'
'x+1/2,-y+1/2,z'
loop_
_atom_site_label
_atom_site_fract_x
_atom_site_fract_y
_atom_site_fract_z
Zn1 0.250 0.250 0.000
Cr1 0.000 0.000 0.000
Sb1 0.000 0.500 0.000
# Total moment = 5.09 μB per cell
# Formation energy (no corrections) = 0.31 eV/atom

7.
# PBEsol ZnCr2Sb, relaxed
data_ZnCr2Sb
_cell_length_a 3.204
_cell_length_b 3.204
_cell_length_c 5.781
_cell_angle_alpha 90.00
_cell_angle_beta 90.00
_cell_angle_gamma 90.00
_space_group_name_H-M_alt 'P 4/m m m'
_space_group_IT_number 123
_space_group_name_Hall '-P 4 2'
loop_
_atom_site_label
_atom_site_fract_x
_atom_site_fract_y
_atom_site_fract_z
Zn1 0.000 0.000 0.000
Cr1 0.500 0.500 0.247
Sb1 0.000 0.000 0.500
# Total moment = 4.37 μB per cell
# Energy relative to the lowest polymorph listed for this composition = 0 meV per atom
# Formation energy (no corrections) = 0.42 eV/atom

8.
# PBEsol ZnCr2Sb, relaxed
data_ZnCr2Sb
_cell_length_a 6.277
_cell_length_b 6.277
_cell_length_c 6.277
_cell_angle_alpha 90.00
_cell_angle_beta 90.00
_cell_angle_gamma 90.00
_space_group_name_H-M_alt 'F -4 3 m'
_space_group_IT_number 216
_space_group_name_Hall 'F -4 2 3'
loop_
_atom_site_label
_atom_site_fract_x
_atom_site_fract_y
_atom_site_fract_z
Zn1 0.000 0.000 0.000
Cr1 0.000 0.000 0.500
Cr2 0.250 0.250 0.750
Sb1 0.250 0.250 0.250
# Total moment = 2.12 μB per cell
# Energy relative to the lowest polymorph listed for this composition = 11 meV per atom
# Formation energy (no corrections) = 0.43 eV/atom